Record 1
Material: Dy2Fe2SiSnC
Method: DFT, PBE
State: relaxed

The structure in CIF format:
```
data_Dy2Fe2SiSnC
_chemical_formula_sum 'Dy4 Fe4 Si2 Sn2 C2'
_cell_length_a 10.868
_cell_length_b 4.022
_cell_length_c 6.951
_cell_angle_alpha 90.00
_cell_angle_beta 128.65
_cell_angle_gamma 90.00
_symmetry_space_group_name_H-M 'C 1 m 1'
_symmetry_Int_Tables_number 8
loop_
_symmetry_equiv_pos_as_xyz
'x,y,z'
'x,-y,z'
'x+1/2,y+1/2,z'
'x+1/2,-y+1/2,z'
loop_
_atom_site_label
_atom_site_fract_x
_atom_site_fract_y
_atom_site_fract_z
Dy1 0.000 0.000 0.000
Dy2 0.110 0.000 0.564
Fe1 0.234 0.500 0.339
Fe2 0.348 0.000 0.165
Si1 0.223 0.500 0.998
Sn1 0.397 0.000 0.576
C1 0.045 0.500 0.266
```

Summary:
VASP energy	-96.20	eV per cell

---

Record 2
Material: Ho12Co6Hg
Method: DFT, PBE
State: relaxed

The structure in CIF format:
```
data_Ho12Co6Hg
_chemical_formula_sum 'Ho24 Co12 Hg2'
_cell_length_a 9.554
_cell_length_b 9.554
_cell_length_c 9.554
_cell_angle_alpha 90.00
_cell_angle_beta 90.00
_cell_angle_gamma 90.00
_symmetry_space_group_name_H-M 'I m -3'
_symmetry_Int_Tables_number 204
_symmetry_space_group_name_Hall '-I 2 2 3'
loop_
_atom_site_label
_atom_site_fract_x
_atom_site_fract_y
_atom_site_fract_z
Ho1 0.000 0.194 0.302
Co1 0.000 0.386 0.500
Hg1 0.000 0.000 0.000
```

Summary:
VASP energy	-205.15	eV per cell
energy relative to the elements	-0.248	eV per atom

---

VASP energy of number 2 (Ho12Co6Hg)? -205.15 eV per cell

---

Which of these has the highest VASP energy? Dy2Fe2SiSnC

---

Among the records above, which one has the highest VASP energy? Dy2Fe2SiSnC